1.
# FeOs4W

An optimized crystal structure of FeOs4W (PBE, the Alexandria database).

Cell: 7.197 7.197 7.197 Å, 90.00 90.00 90.00°
Space group F-43m (No. 216)
Inequivalent atoms, fractional coordinates:
Fe: 0.000 0.000 0.000 [4 per cell]
Os: 0.125 0.125 0.375 [16 per cell]
W: 0.250 0.250 0.750 [4 per cell]

Values from the calculation:
For the spin magnetization, the calculation gives 14.05 Bohr magnetons per cell. The value obtained for the formation energy is 0.58 eV/atom. For the mass density, the calculation gives 17.83 g/cm³. The crystal system is cubic.

2.
# Ce2Tc3C2

An optimized crystal structure of Ce2Tc3C2 (PBE, the Alexandria database).

Cell: 10.236 3.077 7.717 Å, 90.00 122.77 90.00°
Space group C2/m (No. 12)
Inequivalent atoms, fractional coordinates:
Ce: 0.175 0.000 0.302 [4 per cell]
Tc: 0.000 0.500 0.500 [2 per cell]
Tc: 0.128 0.500 0.943 [4 per cell]
C: 0.127 0.000 0.755 [4 per cell]

Values from the calculation:
For the spin magnetization, the calculation gives 0.00 Bohr magnetons per cell. The value obtained for the formation energy is -0.03 eV/atom. For the mass density, the calculation gives 9.72 g/cm³. The crystal system is monoclinic.

Q: Look up the mass density of the first one.
A: 17.83 g/cm³

Q: Which of these has the highest spin magnetization?
A: FeOs4W